[1]
Below is crystalline Fe2NiPb at its relaxed geometry, with properties calculated at the GGA-PBE level.

Unit cell a=4.5338 b=4.5338 c=4.5338 alpha=126.83 beta=126.83 gamma=78.53
Last column: nearest neighbours and their distance in Å.
Atoms (fractional coordinates):
Fe: 0.0000 0.0000 0.0000  4 Fe 2.68, 4 Pb 2.68, 4 Ni 2.87
Fe: 0.7500 0.2500 0.5000  4 Fe 2.68, 4 Ni 2.68, 4 Pb 2.87
Ni: 0.5000 0.5000 0.0000  8 Fe 2.68-2.87, 4 Pb 2.68
Pb: 0.2500 0.7500 0.5000  8 Fe 2.68-2.87, 4 Ni 2.68

Symmetry: I-4m2
E_tot (eV/cell): -25.04
E_form (eV/atom): 0.3444

[2]
Below is crystalline BaCuF5 at its relaxed geometry, with properties calculated at the GGA-PBE level.

Unit cell a=6.6139 b=6.6139 c=6.6139 alpha=109.57 beta=107.25 gamma=111.63
Last column: nearest neighbours and their distance in Å.
Atoms (fractional coordinates):
Ba: 0.2891 0.0391 0.2500  9 F 2.69-2.86
Ba: 0.7109 0.9609 0.7500  9 F 2.69-2.86
Cu: 0.0000 0.5000 0.5000  6 F 1.88-2.04
Cu: 0.5000 0.5000 0.0000  6 F 1.88-2.04
F: 0.0000 0.2534 0.2534  1 Cu 1.88
F: 0.0000 0.7466 0.7466  1 Cu 1.88
F: 0.2022 0.7478 0.4544  1 Cu 1.88
F: 0.2066 0.2522 0.9544  1 Cu 1.88
F: 0.3268 0.5768 0.7500  2 Cu 2.04
F: 0.5000 0.2534 0.7534  1 Cu 1.88
F: 0.5000 0.7466 0.2466  1 Cu 1.88
F: 0.6732 0.4232 0.2500  2 Cu 2.04
F: 0.7934 0.7478 0.0456  1 Cu 1.88
F: 0.7978 0.2522 0.5456  1 Cu 1.88

Symmetry: Imma
E_tot (eV/cell): -64.95
Excess energy over the best structure of this formula in the dataset (eV/atom): 0.012
Uncorrected formation energy (eV per atom): -2.443

[3]
Below is crystalline TiBeS2 at its relaxed geometry, with properties calculated at the GGA-PBE level.

Unit cell a=6.1056 b=6.1056 c=6.1056 alpha=126.91 beta=126.91 gamma=78.40
Last column: nearest neighbours and their distance in Å.
Atoms (fractional coordinates):
Ti: 0.0000 0.0000 0.0000  4 S 2.44
Ti: 0.7500 0.2500 0.5000  4 S 2.44
Be: 0.2500 0.7500 0.5000  4 S 2.11
Be: 0.5000 0.5000 0.0000  4 S 2.11
S: 0.1759 0.6250 0.0509  2 Be 2.11
S: 0.3750 0.4259 0.5509  2 Be 2.11
S: 0.5741 0.1250 0.9491  2 Be 2.11
S: 0.8750 0.8241 0.4491  2 Be 2.11

Symmetry: I-42d
E_tot (eV/cell): -46.75
Uncorrected formation energy (eV per atom): -0.875